No. 1
A plane-wave DFT calculation with GGA-PBE was carried out for a relaxed Si2BSe crystal.

abc: 6.1618 6.1618 6.1618
angles: 129.65 129.65 73.97
Positions (direct):
1 Si 0.0360 0.6250 0.9110
2 Si 0.3750 0.2860 0.4110
3 Si 0.7140 0.1250 0.0890
4 Si 0.8750 0.9640 0.5890
5 B 0.0000 0.0000 0.0000
6 B 0.7500 0.2500 0.5000
7 Se 0.2500 0.7500 0.5000
8 Se 0.5000 0.5000 0.0000

Computed properties:
Its energy above the lowest structure with this stoichiometry is 0.0 meV/atom. As for the uncorrected formation energy: 0.110 eV per atom. As for the space group: I-42d.

---

No. 2
A plane-wave DFT calculation with GGA-PBE was carried out for a relaxed Pr2Ga7Ag12 crystal.

abc: 10.7000 10.7000 4.1357
angles: 90.00 90.00 120.00
Positions (direct):
1 Pr 0.3333 0.6667 0.2552
2 Pr 0.6667 0.3333 0.7448
3 Ga 0.0000 0.0000 0.0000
4 Ga 0.1250 0.4168 0.7560
5 Ga 0.2918 0.8750 0.7560
6 Ga 0.4168 0.2918 0.2440
7 Ga 0.5832 0.7082 0.7560
8 Ga 0.7082 0.1250 0.2440
9 Ga 0.8750 0.5832 0.2440
10 Ag 0.0526 0.6198 0.7485
11 Ag 0.1162 0.8561 0.2629
12 Ag 0.1439 0.2601 0.2629
13 Ag 0.2601 0.1162 0.7371
14 Ag 0.3802 0.4327 0.7485
15 Ag 0.4327 0.0526 0.2515
16 Ag 0.5673 0.9474 0.7485
17 Ag 0.6198 0.5673 0.2515
18 Ag 0.7399 0.8838 0.2629
19 Ag 0.8561 0.7399 0.7371
20 Ag 0.8838 0.1439 0.7371
21 Ag 0.9474 0.3802 0.2515

Computed properties:
The uncorrected energy is -3.26 eV/atom. As for the space group: P-3.

---

No. 3
A plane-wave DFT calculation with GGA-PBE was carried out for a relaxed K3TlAu4 crystal.

abc: 12.8308 8.7497 9.4247
angles: 90.00 90.00 90.00
Positions (direct):
1 K 0.0650 0.2500 0.2161
2 K 0.1654 0.0231 0.6036
3 K 0.1654 0.4769 0.6036
4 K 0.3346 0.5231 0.1036
5 K 0.3346 0.9769 0.1036
6 K 0.4350 0.7500 0.7161
7 K 0.5650 0.2500 0.2839
8 K 0.6654 0.0231 0.8964
9 K 0.6654 0.4769 0.8964
10 K 0.8346 0.5231 0.3964
11 K 0.8346 0.9769 0.3964
12 K 0.9350 0.7500 0.7839
13 Tl 0.0808 0.7500 0.1379
14 Tl 0.4192 0.2500 0.6379
15 Tl 0.5808 0.7500 0.3621
16 Tl 0.9192 0.2500 0.8621
17 Au 0.0378 0.7500 0.4486
18 Au 0.1030 0.0152 0.9453
19 Au 0.1030 0.4848 0.9453
20 Au 0.2436 0.2500 0.8745
21 Au 0.2564 0.7500 0.3745
22 Au 0.3970 0.5152 0.4453
23 Au 0.3970 0.9848 0.4453
24 Au 0.4622 0.2500 0.9486
25 Au 0.5378 0.7500 0.0514
26 Au 0.6030 0.0152 0.5547
27 Au 0.6030 0.4848 0.5547
28 Au 0.7436 0.2500 0.6255
29 Au 0.7564 0.7500 0.1255
30 Au 0.8970 0.5152 0.0547
31 Au 0.8970 0.9848 0.0547
32 Au 0.9622 0.2500 0.5514

Computed properties:
The uncorrected energy is -2.55 eV/atom. As for the space group: Pnma.

---

No. 4
A plane-wave DFT calculation with GGA-PBE was carried out for a relaxed GaCuSeS crystal.

abc: 6.7240 6.7240 6.7240
angles: 131.79 131.43 70.84
Positions (direct):
1 Ga 0.1285 0.3785 0.7500
2 Ga 0.3715 0.1215 0.2500
3 Cu 0.6398 0.8898 0.7500
4 Cu 0.8602 0.6102 0.2500
5 Se 0.2500 0.9885 0.7385
6 Se 0.7500 0.5115 0.7615
7 S 0.0030 0.2500 0.2530
8 S 0.4970 0.7500 0.2470

Computed properties:
Its energy above the lowest structure with this stoichiometry is 0.0 meV/atom. As for the uncorrected formation energy: -0.524 eV per atom. As for the space group: I2_12_12_1.

---

No. 5
A plane-wave DFT calculation with GGA-PBE was carried out for a relaxed Pa4Zn5Ir6 crystal.

abc: 10.6425 10.6425 14.2010
angles: 90.00 90.00 159.34
Positions (direct):
1 Pa 0.0234 0.9766 0.5000
2 Pa 0.0505 0.9495 0.7636
3 Pa 0.1415 0.8585 0.2781
4 Pa 0.1771 0.8229 0.9343
5 Pa 0.8229 0.1771 0.4343
6 Pa 0.8585 0.1415 0.7781
7 Pa 0.9495 0.0505 0.2636
8 Pa 0.9766 0.0234 0.0000
9 Zn 0.1808 0.8192 0.6082
10 Zn 0.3058 0.6942 0.6088
11 Zn 0.3212 0.6788 0.2452
12 Zn 0.3488 0.6512 0.9667
13 Zn 0.4577 0.5423 0.6587
14 Zn 0.5423 0.4577 0.1587
15 Zn 0.6512 0.3488 0.4667
16 Zn 0.6788 0.3212 0.7452
17 Zn 0.6942 0.3058 0.1088
18 Zn 0.8192 0.1808 0.1082
19 Ir 0.1045 0.8955 0.0864
20 Ir 0.2332 0.7668 0.4369
21 Ir 0.2602 0.7398 0.7794
22 Ir 0.4181 0.5819 0.1241
23 Ir 0.4224 0.5776 0.4192
24 Ir 0.4490 0.5510 0.8479
25 Ir 0.5510 0.4490 0.3479
26 Ir 0.5776 0.4224 0.9192
27 Ir 0.5819 0.4181 0.6241
28 Ir 0.7398 0.2602 0.2794
29 Ir 0.7668 0.2332 0.9369
30 Ir 0.8955 0.1045 0.5864

Computed properties:
The uncorrected energy is -7.04 eV/atom. As for the space group: Cmc2_1.

---

No. 6
A plane-wave DFT calculation with GGA-PBE was carried out for a relaxed Tb4CeTc2 crystal.

abc: 7.7615 6.4999 8.1828
angles: 90.00 114.58 90.00
Positions (direct):
1 Tb 0.1189 0.2500 0.4888
2 Tb 0.1845 0.7500 0.2504
3 Tb 0.2556 0.5046 0.9084
4 Tb 0.2556 0.9954 0.9084
5 Tb 0.7444 0.0046 0.0916
6 Tb 0.7444 0.4954 0.0916
7 Tb 0.8155 0.2500 0.7496
8 Tb 0.8811 0.7500 0.5112
9 Ce 0.4495 0.2500 0.3161
10 Ce 0.5505 0.7500 0.6839
11 Tc 0.1200 0.2500 0.1481
12 Tc 0.4774 0.2500 0.7657
13 Tc 0.5226 0.7500 0.2344
14 Tc 0.8800 0.7500 0.8519

Computed properties:
The uncorrected energy is -6.46 eV/atom. As for the space group: P2_1/m.